--- i ---
# ZnBrCl2

A relaxed structure of ZnBrCl2 (PBE, the Alexandria database).

It has space group Cmm2 (No. 35), with a = 3.488 Å, b = 10.528 Å, c = 9.087 Å, α = 90.00°, β = 90.00° and γ = 90.00°. The distinct sites, in fractional coordinates, are Zn at (0.000, 0.000, 0.000), Br at (0.000, 0.500, 0.803), Cl at (0.000, 0.000, 0.525) and Cl at (0.000, 0.500, 0.171).

The volume is 41.715 A^3/atom.

--- ii ---
# ZnBrCl2

A relaxed structure of ZnBrCl2 (PBE, the Alexandria database).

It has space group C2/m (No. 12), with a = 13.683 Å, b = 3.128 Å, c = 7.384 Å, α = 90.00°, β = 120.68° and γ = 90.00°. The distinct sites, in fractional coordinates, are Zn at (0.000, 0.000, 0.000), Br at (0.000, 0.500, 0.500) and Cl at (0.144, 0.500, 0.137).

The volume is 33.975 A^3/atom.

Short version: i is the least stable of them.

--- i ---
# ZrBrCl3

A relaxed structure of ZrBrCl3 (PBE, the Alexandria database).

It has space group Pm-3m (No. 221), with a = 5.302 Å, b = 5.302 Å, c = 5.302 Å, α = 90.00°, β = 90.00° and γ = 90.00°. The distinct sites, in fractional coordinates, are Zr at (0.000, 0.000, 0.000), Br at (0.500, 0.500, 0.500) and Cl at (0.000, 0.500, 0.500).

The volume is 29.814 A^3/atom.

--- ii ---
# ZrBrCl3

A relaxed structure of ZrBrCl3 (PBE, the Alexandria database).

It has space group Pmn2_1 (No. 31), with a = 7.289 Å, b = 7.455 Å, c = 6.166 Å, α = 90.00°, β = 90.00° and γ = 90.00°. The distinct sites, in fractional coordinates, are Zr at (0.000, 0.006, 0.000), Br at (0.000, 0.698, 0.170), Cl at (0.000, 0.260, 0.768) and Cl at (0.248, 0.137, 0.232).

The volume is 33.505 A^3/atom.

--- iii ---
# ZrBrCl3

A relaxed structure of ZrBrCl3 (PBE, the Alexandria database).

It has space group Pm-3m (No. 221), with a = 5.052 Å, b = 5.052 Å, c = 5.052 Å, α = 90.00°, β = 90.00° and γ = 90.00°. The distinct sites, in fractional coordinates, are Zr at (0.000, 0.000, 0.000), Br at (0.500, 0.500, 0.500) and Cl at (0.000, 0.000, 0.500).

The volume is 25.794 A^3/atom.

Short version: i is the least stable of them.

--- i ---
# Zr2Br2Cl

A relaxed structure of Zr2Br2Cl (PBE, the Alexandria database).

It has space group C2/m (No. 12), with a = 20.004 Å, b = 3.499 Å, c = 8.424 Å, α = 90.00°, β = 97.10° and γ = 90.00°. The distinct sites, in fractional coordinates, are Zr at (0.188, 0.000, 0.430), Zr at (0.200, 0.500, 0.783), Br at (0.093, 0.500, 0.290), Br at (0.099, 0.000, 0.667) and Cl at (0.184, 0.000, 0.025).

The volume is 29.259 A^3/atom.

--- ii ---
# Zr2Br2Cl

A relaxed structure of Zr2Br2Cl (PBE, the Alexandria database).

It has space group I4/mmm (No. 139), with a = 5.579 Å, b = 5.579 Å, c = 7.703 Å, α = 90.00°, β = 90.00° and γ = 90.00°. The distinct sites, in fractional coordinates, are Zr at (0.000, 0.000, 0.159), Br at (0.000, 0.500, 0.250) and Cl at (0.000, 0.000, 0.500).

The volume is 23.975 A^3/atom.

Short version: ii is the least stable of them.

--- i ---
# Co2Br

A relaxed structure of Co2Br (PBE, the Alexandria database).

It has space group C2/m (No. 12), with a = 11.706 Å, b = 3.255 Å, c = 6.270 Å, α = 90.00°, β = 118.07° and γ = 90.00°. The distinct sites, in fractional coordinates, are Co at (0.177, 0.000, 0.371), Co at (0.241, 0.000, 0.795) and Br at (0.074, 0.500, 0.808).

The volume is 17.570 A^3/atom.

--- ii ---
# Co2Br

A relaxed structure of Co2Br (PBE, the Alexandria database).

It has space group Pnma (No. 62), with a = 7.590 Å, b = 3.475 Å, c = 9.831 Å, α = 90.00°, β = 90.00° and γ = 90.00°. The distinct sites, in fractional coordinates, are Co at (0.056, 0.250, 0.161), Co at (0.094, 0.250, 0.932) and Br at (0.108, 0.750, 0.341).

The volume is 21.608 A^3/atom.

Short version: i is the least stable of them.

--- i ---
# Co2Br

A relaxed structure of Co2Br (PBE, the Alexandria database).

It has space group Cmcm (No. 63), with a = 3.322 Å, b = 20.372 Å, c = 3.440 Å, α = 90.00°, β = 90.00° and γ = 90.00°. The distinct sites, in fractional coordinates, are Co at (0.000, 0.165, 0.250), Co at (0.000, 0.248, 0.750) and Br at (0.000, 0.401, 0.250).

The volume is 19.399 A^3/atom.

--- ii ---
# Co2Br

A relaxed structure of Co2Br (PBE, the Alexandria database).

It has space group P-3m1 (No. 164), with a = 4.0557 Å, b = 4.0557 Å, c = 3.0541 Å, α = 90.00°, β = 90.00° and γ = 120.00°. The distinct sites, in fractional coordinates, are Co at (0.3333, 0.6667, 0.2454) and Br at (0.0000, 0.0000, 0.5000).

The volume is 14.502 A^3/atom.

--- iii ---
# Co2Br

A relaxed structure of Co2Br (PBE, the Alexandria database).

It has space group I4/mmm (No. 139), with a = 3.003 Å, b = 3.003 Å, c = 10.083 Å, α = 90.00°, β = 90.00° and γ = 90.00°. The distinct sites, in fractional coordinates, are Co at (0.000, 0.000, 0.185) and Br at (0.000, 0.000, 0.500).

The volume is 15.155 A^3/atom.

Short version: ii is the least stable of them.

--- i ---
# Co2Br

A relaxed structure of Co2Br (PBE, the Alexandria database).

It has space group P6_3/mmc (No. 194), with a = 4.3231 Å, b = 4.3231 Å, c = 5.2212 Å, α = 90.00°, β = 90.00° and γ = 120.00°. The distinct sites, in fractional coordinates, are Co at (0.0000, 0.0000, 0.0000), Co at (0.3333, 0.6667, 0.2500) and Br at (0.3333, 0.6667, 0.7500).

The volume is 14.084 A^3/atom.

--- ii ---
# Co2Br

A relaxed structure of Co2Br (PBE, the Alexandria database).

It has space group C2/m (No. 12), with a = 17.768 Å, b = 3.643 Å, c = 3.614 Å, α = 90.00°, β = 90.53° and γ = 90.00°. The distinct sites, in fractional coordinates, are Co at (0.044, 0.000, 0.252), Co at (0.046, 0.500, 0.752) and Br at (0.146, 0.500, 0.256).

The volume is 19.496 A^3/atom.

Short version: i is the least stable of them.

--- i ---
# CrCo2Br

A relaxed structure of CrCo2Br (PBE, the Alexandria database).

It has space group Imm2 (No. 44), with a = 3.111 Å, b = 3.570 Å, c = 11.513 Å, α = 90.00°, β = 90.00° and γ = 90.00°. The distinct sites, in fractional coordinates, are Cr at (0.000, 0.000, 0.000), Co at (0.000, 0.000, 0.450), Co at (0.000, 0.500, 0.118) and Br at (0.000, 0.500, 0.779).

The volume is 15.986 A^3/atom.

--- ii ---
# CrCo2Br

A relaxed structure of CrCo2Br (PBE, the Alexandria database).

It has space group Pmmm (No. 47), with a = 3.027 Å, b = 4.179 Å, c = 4.514 Å, α = 90.00°, β = 90.00° and γ = 90.00°. The distinct sites, in fractional coordinates, are Cr at (0.000, 0.000, 0.000), Co at (0.000, 0.500, 0.500), Co at (0.500, 0.000, 0.500) and Br at (0.500, 0.500, 0.000).

The volume is 14.276 A^3/atom.

Short version: ii is the least stable of them.

--- i ---
# CrCo2Br

A relaxed structure of CrCo2Br (PBE, the Alexandria database).

It has space group P4mm (No. 99), with a = 3.055 Å, b = 3.055 Å, c = 6.882 Å, α = 90.00°, β = 90.00° and γ = 90.00°. The distinct sites, in fractional coordinates, are Cr at (0.000, 0.000, 0.000), Co at (0.000, 0.000, 0.625), Co at (0.500, 0.500, 0.771) and Br at (0.500, 0.500, 0.241).

The volume is 16.055 A^3/atom.

--- ii ---
# CrCo2Br

A relaxed structure of CrCo2Br (PBE, the Alexandria database).

It has space group P3m1 (No. 156), with a = 3.6132 Å, b = 3.6132 Å, c = 6.1123 Å, α = 90.00°, β = 90.00° and γ = 120.00°. The distinct sites, in fractional coordinates, are Cr at (0.0000, 0.0000, 0.0000), Co at (0.3333, 0.6667, 0.6714), Co at (0.6667, 0.3333, 0.7795) and Br at (0.3333, 0.6667, 0.2679).

The volume is 17.294 A^3/atom.

Short version: i is the least stable of them.

--- i ---
# Cr2CoBr2

A relaxed structure of Cr2CoBr2 (PBE, the Alexandria database).

It has space group P4/mbm (No. 127), with a = 7.015 Å, b = 7.015 Å, c = 4.698 Å, α = 90.00°, β = 90.00° and γ = 90.00°. The distinct sites, in fractional coordinates, are Cr at (0.242, 0.258, 0.000), Co at (0.000, 0.000, 0.000) and Br at (0.178, 0.678, 0.500).

The volume is 23.120 A^3/atom.

--- ii ---
# Cr2CoBr2

A relaxed structure of Cr2CoBr2 (PBE, the Alexandria database).

It has space group I4/mmm (No. 139), with a = 4.521 Å, b = 4.521 Å, c = 9.327 Å, α = 90.00°, β = 90.00° and γ = 90.00°. The distinct sites, in fractional coordinates, are Cr at (0.000, 0.000, 0.095), Co at (0.000, 0.000, 0.500) and Br at (0.000, 0.500, 0.250).

The volume is 19.061 A^3/atom.

Short version: ii is the least stable of them.

--- i ---
# Cr3CoBr

A relaxed structure of Cr3CoBr (PBE, the Alexandria database).

It has space group Pm-3m (No. 221), with a = 4.304 Å, b = 4.304 Å, c = 4.304 Å, α = 90.00°, β = 90.00° and γ = 90.00°. The distinct sites, in fractional coordinates, are Cr at (0.000, 0.000, 0.500), Co at (0.500, 0.500, 0.500) and Br at (0.000, 0.000, 0.000).

The volume is 15.949 A^3/atom.

--- ii ---
# Cr3CoBr

A relaxed structure of Cr3CoBr (PBE, the Alexandria database).

It has space group Pm-3m (No. 221), with a = 4.619 Å, b = 4.619 Å, c = 4.619 Å, α = 90.00°, β = 90.00° and γ = 90.00°. The distinct sites, in fractional coordinates, are Cr at (0.000, 0.000, 0.500), Co at (0.000, 0.000, 0.000) and Br at (0.500, 0.500, 0.500).

The volume is 19.711 A^3/atom.

Short version: i is the least stable of them.

--- i ---
# CrCo3Br

A relaxed structure of CrCo3Br (PBE, the Alexandria database).

It has space group Pm-3m (No. 221), with a = 4.326 Å, b = 4.326 Å, c = 4.326 Å, α = 90.00°, β = 90.00° and γ = 90.00°. The distinct sites, in fractional coordinates, are Cr at (0.000, 0.000, 0.000), Co at (0.000, 0.000, 0.500) and Br at (0.500, 0.500, 0.500).

The volume is 16.189 A^3/atom.

--- ii ---
# CrCo3Br

A relaxed structure of CrCo3Br (PBE, the Alexandria database).

It has space group Pm-3m (No. 221), with a = 4.293 Å, b = 4.293 Å, c = 4.293 Å, α = 90.00°, β = 90.00° and γ = 90.00°. The distinct sites, in fractional coordinates, are Cr at (0.000, 0.000, 0.000), Co at (0.000, 0.500, 0.500) and Br at (0.500, 0.500, 0.500).

The volume is 15.826 A^3/atom.

Short version: i is the least stable of them.

--- i ---
# CsCoBr2

A relaxed structure of CsCoBr2 (PBE, the Alexandria database).

It has space group R-3m (No. 166, hexagonal axes), with a = 4.1214 Å, b = 4.1214 Å, c = 28.0129 Å, α = 90.00°, β = 90.00° and γ = 120.00°. The distinct sites, in fractional coordinates, are Cs at (0.0000, 0.0000, 0.0000), Co at (0.0000, 0.0000, 0.5000) and Br at (0.0000, 0.0000, 0.1204).

The volume is 34.339 A^3/atom.

--- ii ---
# CsCoBr2

A relaxed structure of CsCoBr2 (PBE, the Alexandria database).

It has space group Fm-3m (No. 225), with a = 7.938 Å, b = 7.938 Å, c = 7.938 Å, α = 90.00°, β = 90.00° and γ = 90.00°. The distinct sites, in fractional coordinates, are Cs at (0.000, 0.000, 0.000), Co at (0.000, 0.000, 0.500) and Br at (0.250, 0.250, 0.250).

The volume is 31.265 A^3/atom.

--- iii ---
# CsCoBr2

A relaxed structure of CsCoBr2 (PBE, the Alexandria database).

It has space group I-42d (No. 122), with a = 7.967 Å, b = 7.967 Å, c = 8.191 Å, α = 90.00°, β = 90.00° and γ = 90.00°. The distinct sites, in fractional coordinates, are Cs at (0.000, 0.000, 0.000), Co at (0.000, 0.000, 0.500) and Br at (0.126, 0.250, 0.625).

The volume is 32.489 A^3/atom.

Short version: ii is the least stable of them.